(1)
AcCrO5 | GGA+U | relaxed

## Properties
final energy	-6.99	eV per atom
DOS at the Fermi energy	17.49	states/eV/cell
space-group type	No. 62
magnetization	0.0	μB/cell

Cell lengths 8.7518, 7.7478, 9.0749 Å; angles 90.00, 90.00, 90.00 degrees
Closest atoms and distances in Å follow each position.
Element x y z (fractional)
1 Ac 0.1264 0.2500 0.2504  2 O 2.23
2 Ac 0.3736 0.7500 0.7504  2 O 2.23
3 Ac 0.6264 0.2500 0.2496  2 O 2.23
4 Ac 0.8736 0.7500 0.7496  2 O 2.23
5 Cr 0.1242 0.7500 0.1196  4 O 1.66-1.67
6 Cr 0.3758 0.2500 0.6196  4 O 1.66-1.67
7 Cr 0.6242 0.7500 0.3804  4 O 1.66-1.67
8 Cr 0.8758 0.2500 0.8804  4 O 1.66-1.67
9 O 0.0301 0.2500 0.9882  1 Cr 1.67
10 O 0.1236 0.7500 0.7010  2 Ac 2.23
11 O 0.1247 0.5743 0.2241  1 Cr 1.66
12 O 0.1247 0.9257 0.2241  1 Cr 1.66
13 O 0.2222 0.2500 0.5104  1 Cr 1.67
14 O 0.2778 0.7500 0.0104  1 Cr 1.67
15 O 0.3753 0.0743 0.7241  1 Cr 1.66
16 O 0.3753 0.4257 0.7241  1 Cr 1.66
17 O 0.3764 0.2500 0.2010  2 Ac 2.23
18 O 0.4699 0.7500 0.4882  1 Cr 1.67
19 O 0.5301 0.2500 0.5118  1 Cr 1.67
20 O 0.6236 0.7500 0.7990  2 Ac 2.23
21 O 0.6247 0.5743 0.2759  1 Cr 1.66
22 O 0.6247 0.9257 0.2759  1 Cr 1.66
23 O 0.7222 0.2500 0.9896  1 Cr 1.67
24 O 0.7778 0.7500 0.4896  1 Cr 1.67
25 O 0.8753 0.0743 0.7759  1 Cr 1.66
26 O 0.8753 0.4257 0.7759  1 Cr 1.66
27 O 0.8764 0.2500 0.2990  2 Ac 2.23
28 O 0.9699 0.7500 0.0118  1 Cr 1.67

***

(2)
AcCr2PO8 | GGA+U | relaxed

## Properties
final energy	-7.31	eV per atom
space-group type	No. 12
magnetization	4.0	μB/cell

Cell lengths 4.8867, 4.8867, 7.1766 Å; angles 92.07, 92.07, 67.56 degrees
Closest atoms and distances in Å follow each position.
Element x y z (fractional)
1 Ac 0.0000 0.0000 0.0000  6 O 2.60-2.61
2 Cr 0.3680 0.3680 0.6909  4 O 1.75-1.84
3 Cr 0.6320 0.6320 0.3091  4 O 1.75-1.84
4 P 0.0000 0.0000 0.5000  6 O 1.66-1.75
5 O 0.2048 0.2048 0.5155  1 P 1.66, 1 Cr 1.79
6 O 0.2159 0.7743 0.6766  1 P 1.75, 1 Cr 1.84
7 O 0.2257 0.7841 0.3234  1 P 1.75, 1 Cr 1.84
8 O 0.3100 0.3100 0.9226  1 Cr 1.75
9 O 0.6900 0.6900 0.0774  1 Cr 1.75
10 O 0.7743 0.2159 0.6766  1 P 1.75, 1 Cr 1.84
11 O 0.7841 0.2257 0.3234  1 P 1.75, 1 Cr 1.84
12 O 0.7952 0.7952 0.4845  1 P 1.66, 1 Cr 1.79

***

(3)
Ac2CrPO8 | GGA+U | relaxed

## Properties
final energy	-7.19	eV per atom
DOS at the Fermi energy	9.98	states/eV/cell
space-group type	No. 164
magnetization	1.7	μB/cell

Cell lengths 6.6802, 6.6802, 4.8332 Å; angles 90.00, 90.00, 120.00 degrees
Closest atoms and distances in Å follow each position.
Element x y z (fractional)
1 Ac 0.3333 0.6667 0.2242  5 O 2.41-2.49
2 Ac 0.6667 0.3333 0.7758  5 O 2.41-2.49
3 Cr 0.0000 0.0000 0.5000  6 O 1.95
4 P 0.0000 0.0000 0.0000  6 O 1.72
5 O 0.1186 0.2372 0.2132  1 P 1.72
6 O 0.1186 0.8814 0.2132  1 P 1.72
7 O 0.2372 0.1186 0.7868  1 P 1.72
8 O 0.3333 0.6667 0.7234  2 Ac 2.41-2.42
9 O 0.6667 0.3333 0.2766  2 Ac 2.41-2.42
10 O 0.7628 0.8814 0.2132  1 P 1.72
11 O 0.8814 0.1186 0.7868  1 P 1.72
12 O 0.8814 0.7628 0.7868  1 P 1.72

***

(4)
AcCrP2O8 | GGA+U | relaxed

## Properties
final energy	-7.77	eV per atom
DOS at the Fermi energy	0.00	states/eV/cell
space-group type	No. 147
magnetization	3.0	μB/cell

Cell lengths 4.9934, 4.9934, 7.1647 Å; angles 90.00, 90.00, 120.00 degrees
Closest atoms and distances in Å follow each position.
Element x y z (fractional)
1 Ac 0.0000 0.0000 0.0000  12 O 2.76-2.90
2 Cr 0.0000 0.0000 0.5000  6 O 2.00
3 P 0.3333 0.6667 0.7418  4 O 1.55
4 P 0.6667 0.3333 0.2582  4 O 1.55
5 O 0.0831 0.3388 0.6797  1 P 1.55
6 O 0.2556 0.9169 0.6797  1 P 1.55
7 O 0.3333 0.6667 0.9584  1 P 1.55
8 O 0.3388 0.2556 0.3203  1 P 1.55
9 O 0.6612 0.7444 0.6797  1 P 1.55
10 O 0.6667 0.3333 0.0416  1 P 1.55
11 O 0.7444 0.0831 0.3203  1 P 1.55
12 O 0.9169 0.6612 0.3203  1 P 1.55

***

(5)
AcCrPO6 | GGA+U | relaxed

## Properties
final energy	-7.51	eV per atom
DOS at the Fermi energy	3.22	states/eV/cell
space-group type	No. 149
magnetization	2.0	μB/cell

Cell lengths 4.9453, 4.9453, 5.3246 Å; angles 90.00, 90.00, 120.00 degrees
Closest atoms and distances in Å follow each position.
Element x y z (fractional)
1 Ac 0.0000 0.0000 0.0000  6 O 2.53
2 Cr 0.3333 0.6667 0.5000  6 O 1.95
3 P 0.6667 0.3333 0.5000  6 O 1.73
4 O 0.4023 0.0330 0.6892  1 P 1.73
5 O 0.4023 0.3693 0.3108  1 P 1.73
6 O 0.6307 0.0330 0.3108  1 P 1.73
7 O 0.6307 0.5977 0.6892  1 P 1.73
8 O 0.9670 0.3693 0.6892  1 P 1.73
9 O 0.9670 0.5977 0.3108  1 P 1.73

***

(6)
AcPaCrO6 | GGA+U | relaxed

## Properties
final energy	-8.39	eV per atom
space-group type	No. 102
magnetization	4.0	μB/cell

Cell lengths 5.1110, 5.1110, 10.3140 Å; angles 90.00, 90.00, 90.00 degrees
Closest atoms and distances in Å follow each position.
Element x y z (fractional)
1 Ac 0.0000 0.0000 0.0000  6 O 2.40-2.60
2 Ac 0.5000 0.5000 0.5000  6 O 2.40-2.60
3 Pa 0.0000 0.0000 0.6612  6 O 2.14-2.28
4 Pa 0.5000 0.5000 0.1612  6 O 2.14-2.28
5 Cr 0.0000 0.0000 0.3296  6 O 1.93-2.08
6 Cr 0.5000 0.5000 0.8296  6 O 1.93-2.08
7 O 0.1682 0.1682 0.4823  1 Cr 1.99, 1 Pa 2.21
8 O 0.2074 0.2074 0.1901  1 Cr 2.08, 1 Pa 2.14
9 O 0.2346 0.2346 0.8085  1 Cr 1.93
10 O 0.2654 0.7346 0.3085  1 Cr 1.93
11 O 0.2926 0.7074 0.6901  1 Cr 2.08, 1 Pa 2.14
12 O 0.3318 0.6682 0.9823  1 Cr 1.99, 1 Pa 2.21
13 O 0.6682 0.3318 0.9823  1 Cr 1.99, 1 Pa 2.21
14 O 0.7074 0.2926 0.6901  1 Cr 2.08, 1 Pa 2.14
15 O 0.7346 0.2654 0.3085  1 Cr 1.93
16 O 0.7654 0.7654 0.8085  1 Cr 1.93
17 O 0.7926 0.7926 0.1901  1 Cr 2.08, 1 Pa 2.14
18 O 0.8318 0.8318 0.4823  1 Cr 1.99, 1 Pa 2.21

***

(7)
AcCr2PbO8 | GGA+U | relaxed

## Properties
final energy	-6.90	eV per atom
DOS at the Fermi energy	5.68	states/eV/cell
space-group type	No. 164
magnetization	1.0	μB/cell

Cell lengths 5.8729, 5.8729, 7.4828 Å; angles 90.00, 90.00, 120.00 degrees
Closest atoms and distances in Å follow each position.
Element x y z (fractional)
1 Ac 0.0000 0.0000 0.0000  6 O 2.48
2 Cr 0.3333 0.6667 0.3077  4 O 1.63-1.72
3 Cr 0.6667 0.3333 0.6923  4 O 1.63-1.72
4 Pb 0.0000 0.0000 0.5000  6 O 2.66
5 O 0.1733 0.3466 0.2339  1 Cr 1.72
6 O 0.1733 0.8267 0.2339  1 Cr 1.72
7 O 0.3333 0.6667 0.5259  1 Cr 1.63
8 O 0.3466 0.1733 0.7661  1 Cr 1.72
9 O 0.6534 0.8267 0.2339  1 Cr 1.72
10 O 0.6667 0.3333 0.4741  1 Cr 1.63
11 O 0.8267 0.1733 0.7661  1 Cr 1.72
12 O 0.8267 0.6534 0.7661  1 Cr 1.72

***

(8)
AcCrPbO5 | GGA+U | relaxed

## Properties
final energy	-6.94	eV per atom
space-group type	No. 15
magnetization	2.0	μB/cell

Cell lengths 6.3241, 6.3241, 8.4566 Å; angles 101.92, 101.92, 109.04 degrees
Closest atoms and distances in Å follow each position.
Element x y z (fractional)
1 Ac 0.0000 0.0000 0.0000  6 O 2.41-2.55
2 Ac 0.0000 0.0000 0.5000  6 O 2.41-2.55
3 Cr 0.3144 0.6856 0.7500  4 O 1.72-1.76
4 Cr 0.6856 0.3144 0.2500  4 O 1.72-1.76
5 Pb 0.3218 0.6782 0.2500  1 O 2.16
6 Pb 0.6782 0.3218 0.7500  1 O 2.16
7 O 0.0856 0.6632 0.8417  1 Cr 1.76
8 O 0.1122 0.8878 0.2500  1 Pb 2.16, 2 Ac 2.41
9 O 0.2649 0.4336 0.5983  1 Cr 1.72
10 O 0.3368 0.9144 0.6583  1 Cr 1.76
11 O 0.4336 0.2649 0.0983  1 Cr 1.72
12 O 0.5664 0.7351 0.9017  1 Cr 1.72
13 O 0.6632 0.0856 0.3417  1 Cr 1.76
14 O 0.7351 0.5664 0.4017  1 Cr 1.72
15 O 0.8878 0.1122 0.7500  1 Pb 2.16, 2 Ac 2.41
16 O 0.9144 0.3368 0.1583  1 Cr 1.76